1.
{
  "formula": "Rb2GeSb2",
  "functional": "GGA-PBE",
  "state": "optimized geometry",
  "spacegroup": "C2/m, No. 12",
  "e_form_raw_mev_per_atom": -199,
  "cell": [[7.254, 0.000, 0.000], [-3.627, 7.537, -1.785], [0.000, -5.841, 10.383]],
  "species": ["Sb", "Rb", "Rb", "Ge", "Rb", "Ge", "Sb", "Sb", "Rb", "Sb"],
  "frac_coords": [[0.561, 0.121, 0.893], [0.680, 0.361, 0.537], [0.893, 0.786, 0.144], [0.358, 0.715, 0.827], [0.107, 0.214, 0.856], [0.642, 0.285, 0.173], [0.141, 0.282, 0.578], [0.859, 0.718, 0.422], [0.320, 0.639, 0.463], [0.439, 0.879, 0.107]]
}

2.
{
  "formula": "LiTi2Pd9",
  "functional": "GGA-PBE",
  "state": "optimized geometry",
  "delta_e_f_mev_per_atom": -521,
  "spacegroup": "P4/mmm, No. 123",
  "cell": [[-0.424, 3.202, 2.233], [-3.766, 0.256, -1.082], [-3.067, -6.738, 9.078]],
  "species": ["Pd", "Pd", "Pd", "Li", "Pd", "Pd", "Ti", "Pd", "Pd", "Ti", "Pd", "Pd"],
  "frac_coords": [[0.500, 0.000, 0.831], [0.500, 0.500, 0.000], [0.000, 0.500, 0.500], [0.000, 0.000, 0.000], [0.500, 0.500, 0.665], [0.000, 0.500, 0.169], [0.000, 0.000, 0.327], [0.000, 0.500, 0.831], [0.500, 0.000, 0.169], [0.000, 0.000, 0.673], [0.500, 0.500, 0.335], [0.500, 0.000, 0.500]]
}

3.
{
  "formula": "Ac2CeS6",
  "functional": "GGA-PBE",
  "state": "optimized geometry",
  "spacegroup": "P-62m, No. 189",
  "e_form_raw_mev_per_atom": -1671,
  "cell": [[4.193, 0.000, 0.000], [0.000, 7.694, 0.000], [0.000, -3.847, 6.663]],
  "species": ["Ac", "Ac", "S", "S", "S", "Ce", "S", "S", "S"],
  "frac_coords": [[0.000, 0.667, 0.333], [0.000, 0.333, 0.667], [0.000, 0.240, 0.000], [0.500, 0.600, 0.000], [0.500, 0.400, 0.400], [0.500, 0.000, 0.000], [0.000, 0.760, 0.760], [0.000, 0.000, 0.240], [0.500, 0.000, 0.600]]
}

4.
{
  "formula": "RbBa3Be",
  "functional": "GGA-PBE",
  "state": "optimized geometry",
  "delta_e_f_mev_per_atom": 315,
  "spacegroup": "Pm-3m, No. 221",
  "cell": [[-1.309, 3.642, -5.373], [-5.578, -3.433, -0.969], [-3.319, 4.335, 3.747]],
  "species": ["Rb", "Ba", "Ba", "Ba", "Be"],
  "frac_coords": [[0.500, 0.500, 0.500], [0.000, 0.500, 0.000], [0.500, 0.000, 0.000], [0.000, 0.000, 0.500], [0.000, 0.000, 0.000]]
}

5.
{
  "formula": "PmSi3Pt",
  "functional": "GGA-PBE",
  "state": "optimized geometry",
  "spacegroup": "Pnma, No. 62",
  "e_form_raw_mev_per_atom": -583,
  "cell": [[4.093, 0.000, 0.000], [0.000, 8.581, 0.000], [0.000, 0.000, 10.534]],
  "species": ["Pm", "Si", "Pm", "Pm", "Pt", "Si", "Si", "Si", "Si", "Pt", "Si", "Si", "Pt", "Si", "Pm", "Si", "Si", "Si", "Pt", "Si"],
  "frac_coords": [[0.750, 0.805, 0.041], [0.750, 0.119, 0.170], [0.250, 0.695, 0.541], [0.750, 0.305, 0.459], [0.750, 0.424, 0.152], [0.250, 0.780, 0.255], [0.250, 0.553, 0.086], [0.250, 0.280, 0.245], [0.750, 0.947, 0.586], [0.250, 0.076, 0.652], [0.250, 0.381, 0.670], [0.750, 0.619, 0.330], [0.250, 0.576, 0.848], [0.750, 0.220, 0.745], [0.250, 0.195, 0.959], [0.750, 0.447, 0.914], [0.750, 0.720, 0.755], [0.250, 0.053, 0.414], [0.750, 0.924, 0.348], [0.250, 0.881, 0.830]]
}

6.
{
  "formula": "Be2TeRu",
  "functional": "GGA-PBE",
  "state": "optimized geometry",
  "spacegroup": "P4mm, No. 99",
  "e_form_raw_mev_per_atom": 289,
  "cell": [[-0.992, 1.093, 2.768], [0.670, -2.759, 1.330], [5.371, 1.875, 1.185]],
  "species": ["Ru", "Be", "Be", "Te"],
  "frac_coords": [[0.000, 0.000, 0.428], [0.000, 0.000, 0.057], [0.500, 0.500, 0.260], [0.500, 0.500, 0.756]]
}

7.
{
  "formula": "LiTlSnAu2",
  "functional": "GGA-PBE",
  "state": "optimized geometry",
  "delta_e_f_mev_per_atom": 228,
  "spacegroup": "P4/mmm, No. 123",
  "cell": [[5.242, 0.000, 0.000], [0.000, 5.802, 0.000], [0.000, 0.000, 5.242]],
  "species": ["Au", "Li", "Tl", "Au", "Sn"],
  "frac_coords": [[0.000, 0.000, 0.500], [0.500, 0.500, 0.500], [0.000, 0.500, 0.000], [0.500, 0.000, 0.000], [0.000, 0.000, 0.000]]
}

8.
{
  "formula": "RbBi2Ir",
  "functional": "GGA-PBE",
  "state": "optimized geometry",
  "delta_e_f_mev_per_atom": 137,
  "spacegroup": "I-42d, No. 122",
  "cell": [[-5.069, -1.107, 6.912], [0.958, -8.563, -0.670], [0.799, -4.682, 5.239]],
  "species": ["Bi", "Ir", "Ir", "Rb", "Bi", "Bi", "Rb", "Bi"],
  "frac_coords": [[0.032, 0.625, 0.250], [0.750, 0.250, 0.500], [0.000, 0.000, 0.000], [0.500, 0.500, 0.000], [0.375, 0.282, 0.750], [0.718, 0.125, 0.250], [0.250, 0.750, 0.500], [0.875, 0.968, 0.750]]
}